PBE-GGA Pm5Ga3, relaxed; energy of formation = -3.41 eV per formula unit; SG = P6_3/mcm; volume = 28.48 Å³/atom; energy above the most stable polymorph in this dataset = 0.31 eV per formula unit
1.0
8.7545 0.0000 0.0000
-4.3773 7.5816 0.0000
0.0000 0.0000 6.8665
Pm Ga
10 6
direct
0.0000 0.2407 0.2500 Pm
0.0000 0.7593 0.7500 Pm
0.2407 0.0000 0.2500 Pm
0.2407 0.2407 0.7500 Pm
0.3333 0.6667 0.0000 Pm
0.3333 0.6667 0.5000 Pm
0.6667 0.3333 0.0000 Pm
0.6667 0.3333 0.5000 Pm
0.7593 0.0000 0.7500 Pm
0.7593 0.7593 0.2500 Pm
0.0000 0.4047 0.7500 Ga
0.0000 0.5953 0.2500 Ga
0.4047 0.0000 0.7500 Ga
0.4047 0.4047 0.2500 Ga
0.5953 0.0000 0.2500 Ga
0.5953 0.5953 0.7500 Ga

PBE-GGA Sc2TaCdC, relaxed; energy of formation = -1.66 eV per formula unit; SG = P4/mmm; volume = 17.76 Å³/atom
1.0
4.5122 0.0000 0.0000
0.0000 4.5122 0.0000
0.0000 0.0000 4.3620
Sc Ta Cd C
2 1 1 1
direct
0.0000 0.5000 0.0000 Sc
0.5000 0.0000 0.0000 Sc
0.0000 0.0000 0.5000 Ta
0.5000 0.5000 0.5000 Cd
0.0000 0.0000 0.0000 C

PBE-GGA TaCrRe2, relaxed; energy of formation = 1.04 eV per formula unit; SG = R3m; volume = 15.27 Å³/atom
1.0
1.3885 0.8017 9.1450
-1.3885 0.8017 9.1450
0.0000 -1.6034 9.1450
Ta Cr Re
1 1 2
direct
0.0000 0.0000 0.0000 Ta
0.2477 0.2477 0.2477 Cr
0.5045 0.5045 0.5045 Re
0.7571 0.7571 0.7571 Re